Run 1
The following is a DFT calculation (GGA-PBE) of a relaxed SrErAuS3 crystal.

a = 6.942 Å, b = 6.942 Å, c = 10.259 Å
α = 90.00°, β = 90.00°, γ = 146.51°
Element x y z (fractional)
Sr  0.249  0.751  0.750
Sr  0.751  0.249  0.250
Er  0.000  0.000  0.000
Er  0.000  0.000  0.500
Au  0.464  0.536  0.250
Au  0.536  0.464  0.750
S  0.087  0.913  0.250
S  0.360  0.640  0.051
S  0.360  0.640  0.449
S  0.640  0.360  0.551
S  0.640  0.360  0.949
S  0.913  0.087  0.750

Values from the calculation:
- Magnetization: 0.006 μB per cell
- Mass density: 6.67 g cm⁻³


Run 2
The following is a DFT calculation (GGA-PBE) of a relaxed SrErAuS3 crystal.

a = 12.712 Å, b = 3.998 Å, c = 10.875 Å
α = 90.00°, β = 90.00°, γ = 90.00°
Element x y z (fractional)
Sr  0.185  0.250  0.027
Sr  0.315  0.750  0.527
Sr  0.685  0.250  0.473
Sr  0.815  0.750  0.973
Er  0.012  0.750  0.668
Er  0.488  0.250  0.168
Er  0.512  0.750  0.832
Er  0.988  0.250  0.332
Au  0.200  0.750  0.269
Au  0.300  0.250  0.769
Au  0.700  0.750  0.231
Au  0.800  0.250  0.731
S  0.035  0.750  0.161
S  0.112  0.250  0.542
S  0.190  0.750  0.816
S  0.310  0.250  0.316
S  0.388  0.750  0.042
S  0.465  0.250  0.661
S  0.535  0.750  0.339
S  0.612  0.250  0.958
S  0.690  0.750  0.684
S  0.810  0.250  0.184
S  0.888  0.750  0.458
S  0.965  0.250  0.839

Values from the calculation:
- Magnetization: 0.006 μB per cell
- Mass density: 6.59 g cm⁻³


run 1 is preferred energetically. Next in line: 36 meV/atom higher.